DFT (GGA-PBE) results for an optimized crystal structure of SrNi.

* space group: No. 129
* formation energy: 48 kJ/mol of formula units
* size of the total moment: 0.0 μB per formula unit

Cell lengths 3.4668, 3.4668, 8.5263 Å; angles 90.00, 90.00, 90.00 degrees
Last column: nearest neighbours and their distance in Å.
Fractional coordinates of all 4 atoms:
1 Ni 0.2500 0.2500 0.5375  4 Ni 2.53, 1 Sr 2.75
2 Ni 0.7500 0.7500 0.4625  4 Ni 2.53, 1 Sr 2.75
3 Sr 0.7500 0.7500 0.7852  1 Ni 2.75
4 Sr 0.2500 0.2500 0.2148  1 Ni 2.75